A PBEsol-optimized structure of Al2CoSb. Source: Alexandria via LeMat-Bulk, functional SCAN.

Cell: 3.7023 4.4899 7.7986 Å, 90.00 90.00 90.00°
Closest atoms and distances in Å follow each position.
Space group Imm2 (No. 44)
Symmetry-distinct sites (fractional):
Al 0.0000 0.0000 0.0000  2 Co 2.48
Al 0.0000 0.5000 0.2336  4 Al 2.78-2.89, 4 Sb 2.80-2.88, 4 Co 2.91
Co 0.0000 0.5000 0.7120  2 Al 2.48, 2 Sb 2.70
Sb 0.0000 0.0000 0.4645  4 Co 2.70-2.96, 8 Al 2.80-2.92

Output
The calculation puts the magnetization at 1.1 μB per formula unit. As for the density of states at the Fermi level: 2.0 states/eV/f.u. Its raw formation energy is 0.2431 eV per atom.

A PBEsol-optimized structure of Tl2CrTc. Source: Alexandria via LeMat-Bulk, functional SCAN.

Cell: 4.6512 4.6512 6.5698 Å, 90.00 90.00 90.00°
Closest atoms and distances in Å follow each position.
Space group I4/mmm (No. 139)
Symmetry-distinct sites (fractional):
Tl 0.0000 0.5000 0.2500  4 Tc 2.85, 4 Cr 2.85
Cr 0.0000 0.0000 0.0000  8 Tl 2.85
Tc 0.0000 0.0000 0.5000  8 Tl 2.85

Output
The formation energy comes out at 2.53 eV/f.u. The calculation puts the magnetization at 2.7 μB per formula unit. As for the density of states at the Fermi level: 3.8 states/eV/f.u.

A PBEsol-optimized structure of CuSiAg2. Source: Alexandria via LeMat-Bulk, functional SCAN.

Cell: 2.7593 4.4449 4.8534 Å, 90.00 92.89 90.00°
Closest atoms and distances in Å follow each position.
Space group P2/m (No. 10)
Symmetry-distinct sites (fractional):
Cu 0.0000 0.0000 0.0000  4 Ag 2.66, 4 Si 2.73-2.85, 2 Cu 2.76
Si 0.5000 0.0000 0.5000  4 Ag 2.62, 4 Cu 2.73-2.85, 2 Si 2.76
Ag 0.2724 0.5000 0.7501  2 Si 2.62, 2 Cu 2.66, 6 Ag 2.67-2.92

Output
The calculation puts the magnetization at 0.0 μB per formula unit. As for the density of states at the Fermi level: 1.0 states/eV/f.u. Its raw formation energy is 0.2563 eV per atom.